Below is an optimized crystal structure of CrPt2Au, with properties calculated at the PBEsol level.

The density of states at the Fermi level comes out at 7.57 states/eV/cell. The value obtained for the volume is 14.90 Å³/atom. As for the density: 17.80 g cm⁻³. As for the formation energy from the elements: -0.05 eV/atom. As for the calculated total energy: -7.073 eV/atom.

It has space group I-4m2 (No. 119), with a = 3.895 Å, b = 3.895 Å, c = 7.860 Å, α = 90.00°, β = 90.00° and γ = 90.00°. The inequivalent atoms are Cr at (0.000, 0.000, 0.000), Pt at (0.000, 0.000, 0.500), Pt at (0.000, 0.500, 0.250) and Au at (0.000, 0.500, 0.750).

Below is an optimized crystal structure of CrPtAu2, with properties calculated at the PBEsol level.

The density of states at the Fermi level comes out at 3.79 states/eV/cell. The value obtained for the volume is 15.79 Å³/atom. As for the density: 16.85 g cm⁻³. As for the formation energy from the elements: 0.13 eV/atom. As for the calculated total energy: -6.130 eV/atom.

It has space group P4/mmm (No. 123), with a = 3.384 Å, b = 3.384 Å, c = 5.517 Å, α = 90.00°, β = 90.00° and γ = 90.00°. The inequivalent atoms are Cr at (0.000, 0.000, 0.000), Pt at (0.000, 0.000, 0.500) and Au at (0.500, 0.500, 0.245).

Below is an optimized crystal structure of RbCr3Au, with properties calculated at the PBEsol level.

The density of states at the Fermi level comes out at 3.89 states/eV/cell. The value obtained for the volume is 27.62 Å³/atom. As for the density: 5.27 g cm⁻³. As for the formation energy from the elements: 1.35 eV/atom. As for the calculated total energy: -5.781 eV/atom.

It has space group Pm-3m (No. 221), with a = 5.169 Å, b = 5.169 Å, c = 5.169 Å, α = 90.00°, β = 90.00° and γ = 90.00°. The inequivalent atoms are Rb at (0.000, 0.000, 0.000), Cr at (0.000, 0.500, 0.500) and Au at (0.500, 0.500, 0.500).

Below is an optimized crystal structure of RbCrAu3, with properties calculated at the PBEsol level.

The density of states at the Fermi level comes out at 3.46 states/eV/cell. The value obtained for the volume is 25.70 Å³/atom. As for the density: 9.41 g cm⁻³. As for the formation energy from the elements: 0.44 eV/atom. As for the calculated total energy: -4.169 eV/atom.

It has space group Pm-3m (No. 221), with a = 5.046 Å, b = 5.046 Å, c = 5.046 Å, α = 90.00°, β = 90.00° and γ = 90.00°. The inequivalent atoms are Rb at (0.000, 0.000, 0.000), Cr at (0.500, 0.500, 0.500) and Au at (0.000, 0.500, 0.500).